[1]
# CuSiSn2

A geometry-optimized CuSiSn2 structure (PBE, Alexandria).

energy relative to the elements, uncorrected: 0.3584 eV/atom

a = 6.2139 Å, b = 6.2139 Å, c = 7.1221 Å
α = 64.14°, β = 64.14°, γ = 90.00°
Fractional positions:
Cu1 0.7500 0.2500 0.5000
Sn1 0.6311 0.1250 0.2500
Si1 0.5000 0.5000 0.0000
Si2 0.2500 0.7500 0.5000
Sn2 0.1189 0.6250 0.2500
Sn3 0.8750 0.8811 0.7500
Cu2 0.0000 0.0000 0.0000
Sn4 0.3750 0.3689 0.7500



[2]
# RbCrRe2C

A geometry-optimized RbCrRe2C structure (PBE, Alexandria).

formation energy: 224 kJ/mol of atoms

a = 4.7554 Å, b = 4.0745 Å, c = 4.7554 Å
α = 90.00°, β = 90.00°, γ = 90.00°
Each line ends with the local moment (μB).
Fractional positions:
C1 0.0000 0.5000 0.0000  -0.01
Rb1 0.5000 0.5000 0.5000  0.09
Cr1 0.0000 0.0000 0.0000  -0.40
Re1 0.0000 0.0000 0.5000  1.51
Re2 0.5000 0.0000 0.0000  1.61



- What is the formula in the second record?
  RbCrRe2C